# KGePb

An optimized crystal structure of KGePb (GGA-PBE, Alexandria via LeMat-Bulk).

Computed properties:
Total moment, μB/f.u.: 0.00
Crystal system: monoclinic
Calculated total energy, eV/atom: -3.221
Offset from the most stable computed form, eV per atom: 0.039

Geometry as POSCAR:
```
KGePb
1.0
4.3027 -0.0147 0.0246
0.0235 7.2501 -0.0079
2.1248 3.5276 6.6070
K Ge Pb
2 2 2
Cartesian
5.0148 4.3132 2.7897
2.8621 0.4685 0.8726
2.8804 4.1907 0.1522
2.8632 9.1829 5.6715
5.0229 8.1201 3.8236
2.8550 6.1415 5.3002
```